Entry 1:
PuHgAsO6: relaxed, PBE-GGA.

Lattice parameters (Å, degrees): 5.428 5.428 9.687 90.00 90.00 120.00
Element x y z (fractional)
Pu (0.333, 0.667, 0.250)
Pu (0.667, 0.333, 0.750)
Hg (0.000, 0.000, 0.000)
Hg (0.000, 0.000, 0.500)
As (0.333, 0.667, 0.750)
As (0.667, 0.333, 0.250)
O (0.037, 0.388, 0.641)
O (0.037, 0.649, 0.859)
O (0.351, 0.388, 0.859)
O (0.351, 0.963, 0.641)
O (0.388, 0.037, 0.141)
O (0.388, 0.351, 0.359)
O (0.612, 0.649, 0.641)
O (0.612, 0.963, 0.859)
O (0.649, 0.037, 0.359)
O (0.649, 0.612, 0.141)
O (0.963, 0.351, 0.141)
O (0.963, 0.612, 0.359)

Results
**D(E_F)**: 6.493 states/eV/f.u.
**Uncorrected energy**: -62.208 eV per formula unit
**Crystal system**: trigonal

***

Entry 2:
RbHgAs2O6: relaxed, PBE-GGA.

Lattice parameters (Å, degrees): 8.086 8.086 6.153 103.32 103.32 90.53
Element x y z (fractional)
Rb (0.109, 0.891, 0.750)
Rb (0.891, 0.109, 0.250)
Hg (0.286, 0.714, 0.250)
Hg (0.714, 0.286, 0.750)
As (0.221, 0.371, 0.821)
As (0.371, 0.221, 0.321)
As (0.629, 0.779, 0.679)
As (0.779, 0.629, 0.179)
O (0.040, 0.241, 0.726)
O (0.175, 0.585, 0.910)
O (0.241, 0.040, 0.226)
O (0.325, 0.366, 0.573)
O (0.366, 0.325, 0.073)
O (0.415, 0.825, 0.590)
O (0.585, 0.175, 0.410)
O (0.634, 0.675, 0.927)
O (0.675, 0.634, 0.427)
O (0.759, 0.960, 0.774)
O (0.825, 0.415, 0.090)
O (0.960, 0.759, 0.274)

Results
**D(E_F)**: 1.447 states/eV/f.u.
**Uncorrected energy**: -51.061 eV per formula unit
**Crystal system**: monoclinic